VASP calculation (PBE) on a relaxed structure of K2CeUSe4.

Structure (CIF):
```
data_K2CeUSe4
_chemical_formula_sum 'K2 Ce1 U1 Se4'
_symmetry_space_group_name_H-M 'P 1 2/m 1'
_symmetry_Int_Tables_number 10
_cell_length_a 7.4422
_cell_length_b 4.2907
_cell_length_c 8.1130
_cell_angle_alpha 90.00
_cell_angle_beta 107.77
_cell_angle_gamma 90.00
loop_
_symmetry_equiv_pos_as_xyz
'x,y,z'
'-x,-y,-z'
'-x,y,-z'
'x,-y,z'
loop_
_atom_site_label
_atom_site_type_symbol
_atom_site_fract_x
_atom_site_fract_y
_atom_site_fract_z
K1 K 0.0000 0.0000 0.0000
K2 K 0.5000 0.5000 0.0000
Ce1 Ce 0.0000 0.5000 0.5000
U1 U 0.5000 0.0000 0.5000
Se1 Se 0.2426 0.0000 0.7104
Se2 Se 0.2697 0.5000 0.2923
```

* ΔE_f (raw): -11.651 eV per formula unit
* total magnetization: 4.00 μB per cell
* VASP energy: -5.63 eV per atom

---

VASP calculation (PBE) on a relaxed structure of K2Ce2VSe6.

Structure (CIF):
```
data_K2Ce2VSe6
_chemical_formula_sum 'K4 Ce4 V2 Se12'
_symmetry_space_group_name_H-M 'C 1 2/m 1'
_symmetry_Int_Tables_number 12
_cell_length_a 7.0994
_cell_length_b 12.1183
_cell_length_c 8.2313
_cell_angle_alpha 90.00
_cell_angle_beta 107.21
_cell_angle_gamma 90.00
loop_
_symmetry_equiv_pos_as_xyz
'x,y,z'
'-x,-y,-z'
'-x,y,-z'
'x,-y,z'
'x+1/2,y+1/2,z'
'-x+1/2,-y+1/2,-z'
'-x+1/2,y+1/2,-z'
'x+1/2,-y+1/2,z'
loop_
_atom_site_label
_atom_site_type_symbol
_atom_site_fract_x
_atom_site_fract_y
_atom_site_fract_z
K1 K 0.0000 0.1720 0.0000
Ce1 Ce 0.0000 0.3332 0.5000
V1 V 0.0000 0.0000 0.5000
Se1 Se 0.2236 0.1541 0.6971
Se2 Se 0.2377 0.0000 0.3047
```

* ΔE_f (raw): -15.286 eV per formula unit
* total magnetization: 6.05 μB per cell
* VASP energy: -5.40 eV per atom

---

VASP calculation (PBE) on a relaxed structure of K3Ce3VSe8.

Structure (CIF):
```
data_K3Ce3VSe8
_chemical_formula_sum 'K9 Ce9 V3 Se24'
_symmetry_space_group_name_H-M 'R -3 m'
_symmetry_Int_Tables_number 166
_symmetry_space_group_name_Hall '-R 3 2"'
_cell_length_a 8.3507
_cell_length_b 8.3507
_cell_length_c 23.4731
_cell_angle_alpha 90.00
_cell_angle_beta 90.00
_cell_angle_gamma 120.00
loop_
_atom_site_label
_atom_site_type_symbol
_atom_site_fract_x
_atom_site_fract_y
_atom_site_fract_z
K1 K 0.0000 0.5000 0.0000
Ce1 Ce 0.0000 0.5000 0.5000
V1 V 0.0000 0.0000 0.5000
Se1 Se 0.0000 0.0000 0.2373
Se2 Se 0.0240 0.5120 0.2306
```

* ΔE_f (raw): -22.027 eV per formula unit
* total magnetization: 12.04 μB per cell
* VASP energy: -5.34 eV per atom

---

VASP calculation (PBE) on a relaxed structure of K3Ce3YSe8.

Structure (CIF):
```
data_K3Ce3YSe8
_chemical_formula_sum 'K9 Ce9 Y3 Se24'
_symmetry_space_group_name_H-M 'R -3 m'
_symmetry_Int_Tables_number 166
_symmetry_space_group_name_Hall '-R 3 2"'
_cell_length_a 8.5831
_cell_length_b 8.5831
_cell_length_c 23.2819
_cell_angle_alpha 90.00
_cell_angle_beta 90.00
_cell_angle_gamma 120.00
loop_
_atom_site_label
_atom_site_type_symbol
_atom_site_fract_x
_atom_site_fract_y
_atom_site_fract_z
K1 K 0.0000 0.5000 0.0000
Ce1 Ce 0.0000 0.5000 0.5000
Y1 Y 0.0000 0.0000 0.5000
Se1 Se 0.0000 0.0000 0.2361
Se2 Se 0.0039 0.5020 0.2337
```

* ΔE_f (raw): -25.790 eV per formula unit
* total magnetization: 6.03 μB per cell
* VASP energy: -5.41 eV per atom

---

VASP calculation (PBE) on a relaxed structure of KCeZnSe3.

Structure (CIF):
```
data_KCeZnSe3
_chemical_formula_sum 'K2 Ce2 Zn2 Se6'
_symmetry_space_group_name_H-M 'P 1 21/m 1'
_symmetry_Int_Tables_number 11
_cell_length_a 9.2076
_cell_length_b 4.2559
_cell_length_c 9.9109
_cell_angle_alpha 90.00
_cell_angle_beta 105.41
_cell_angle_gamma 90.00
loop_
_symmetry_equiv_pos_as_xyz
'x,y,z'
'-x,-y,-z'
'-x,y+1/2,-z'
'x,-y+1/2,z'
loop_
_atom_site_label
_atom_site_type_symbol
_atom_site_fract_x
_atom_site_fract_y
_atom_site_fract_z
K1 K 0.1993 0.2500 0.2281
Ce1 Ce 0.3301 0.7500 0.8514
Zn1 Zn 0.0835 0.2500 0.6059
Se1 Se 0.1043 0.2500 0.8564
Se2 Se 0.1948 0.7500 0.5274
Se3 Se 0.4518 0.7500 0.1580
```

* ΔE_f (raw): -7.969 eV per formula unit
* total magnetization: 2.01 μB per cell
* VASP energy: -4.45 eV per atom

---

VASP calculation (PBE) on a relaxed structure of K4Ce3ZnSe8.

Structure (CIF):
```
data_K4Ce3ZnSe8
_chemical_formula_sum 'K8 Ce6 Zn2 Se16'
_symmetry_space_group_name_H-M 'C 1 2/m 1'
_symmetry_Int_Tables_number 12
_cell_length_a 14.8906
_cell_length_b 8.5074
_cell_length_c 9.1144
_cell_angle_alpha 90.00
_cell_angle_beta 122.87
_cell_angle_gamma 90.00
loop_
_symmetry_equiv_pos_as_xyz
'x,y,z'
'-x,-y,-z'
'-x,y,-z'
'x,-y,z'
'x+1/2,y+1/2,z'
'-x+1/2,-y+1/2,-z'
'-x+1/2,y+1/2,-z'
'x+1/2,-y+1/2,z'
loop_
_atom_site_label
_atom_site_type_symbol
_atom_site_fract_x
_atom_site_fract_y
_atom_site_fract_z
K1 K 0.0000 0.0000 0.0000
K2 K 0.0000 0.5000 0.0000
K3 K 0.2500 0.2500 0.0000
Ce1 Ce 0.0000 0.0000 0.5000
Ce2 Ce 0.2500 0.2500 0.5000
Zn1 Zn 0.0000 0.5000 0.5000
Se1 Se 0.0139 0.2618 0.3012
Se2 Se 0.2363 0.0000 0.7110
Se3 Se 0.2363 0.5000 0.7075
```

* ΔE_f (raw): -23.270 eV per formula unit
* total magnetization: 4.01 μB per cell
* VASP energy: -4.66 eV per atom

---

VASP calculation (PBE) on a relaxed structure of K2CeZn2Se4.

Structure (CIF):
```
data_K2CeZn2Se4
_chemical_formula_sum 'K4 Ce2 Zn4 Se8'
_symmetry_space_group_name_H-M 'C 1 2/m 1'
_symmetry_Int_Tables_number 12
_cell_length_a 15.7347
_cell_length_b 4.3472
_cell_length_c 8.0401
_cell_angle_alpha 90.00
_cell_angle_beta 109.71
_cell_angle_gamma 90.00
loop_
_symmetry_equiv_pos_as_xyz
'x,y,z'
'-x,-y,-z'
'-x,y,-z'
'x,-y,z'
'x+1/2,y+1/2,z'
'-x+1/2,-y+1/2,-z'
'-x+1/2,y+1/2,-z'
'x+1/2,-y+1/2,z'
loop_
_atom_site_label
_atom_site_type_symbol
_atom_site_fract_x
_atom_site_fract_y
_atom_site_fract_z
K1 K 0.1293 0.0000 0.0593
Ce1 Ce 0.0000 0.0000 0.5000
Zn1 Zn 0.1728 0.5000 0.4912
Se1 Se 0.0210 0.5000 0.2548
Se2 Se 0.2069 0.0000 0.6720
```

* ΔE_f (raw): -9.655 eV per formula unit
* total magnetization: 2.93 μB per cell
* VASP energy: -3.81 eV per atom

---

VASP calculation (PBE) on a relaxed structure of K2CeZnSe4.

Structure (CIF):
```
data_K2CeZnSe4
_chemical_formula_sum 'K8 Ce4 Zn4 Se16'
_symmetry_space_group_name_H-M 'C 1 2/c 1'
_symmetry_Int_Tables_number 15
_cell_length_a 11.8197
_cell_length_b 12.6292
_cell_length_c 8.6040
_cell_angle_alpha 90.00
_cell_angle_beta 132.70
_cell_angle_gamma 90.00
loop_
_symmetry_equiv_pos_as_xyz
'x,y,z'
'-x,-y,-z'
'-x,y,-z+1/2'
'x,-y,z+1/2'
'x+1/2,y+1/2,z'
'-x+1/2,-y+1/2,-z'
'-x+1/2,y+1/2,-z+1/2'
'x+1/2,-y+1/2,z+1/2'
loop_
_atom_site_label
_atom_site_type_symbol
_atom_site_fract_x
_atom_site_fract_y
_atom_site_fract_z
K1 K 0.0000 0.0000 0.0000
K2 K 0.2500 0.2500 0.0000
Ce1 Ce 0.2500 0.2500 0.5000
Zn1 Zn 0.0000 0.5000 0.0000
Se1 Se 0.0090 0.2507 0.0432
Se2 Se 0.2036 0.4823 0.4926
```

* ΔE_f (raw): -9.440 eV per formula unit
* total magnetization: 0.00 μB per cell
* VASP energy: -4.10 eV per atom

---

VASP calculation (PBE) on a relaxed structure of K3Ce2ZnSe6.

Structure (CIF):
```
data_K3Ce2ZnSe6
_chemical_formula_sum 'K6 Ce4 Zn2 Se12'
_symmetry_space_group_name_H-M 'C 1 2/m 1'
_symmetry_Int_Tables_number 12
_cell_length_a 7.3246
_cell_length_b 12.6902
_cell_length_c 8.0385
_cell_angle_alpha 90.00
_cell_angle_beta 107.71
_cell_angle_gamma 90.00
loop_
_symmetry_equiv_pos_as_xyz
'x,y,z'
'-x,-y,-z'
'-x,y,-z'
'x,-y,z'
'x+1/2,y+1/2,z'
'-x+1/2,-y+1/2,-z'
'-x+1/2,y+1/2,-z'
'x+1/2,-y+1/2,z'
loop_
_atom_site_label
_atom_site_type_symbol
_atom_site_fract_x
_atom_site_fract_y
_atom_site_fract_z
K1 K 0.0000 0.0000 0.0000
K2 K 0.0000 0.3327 0.0000
Ce1 Ce 0.0000 0.1666 0.5000
Zn1 Zn 0.0000 0.5000 0.5000
Se1 Se 0.2283 0.3391 0.7019
Se2 Se 0.2455 0.0000 0.7020
```

* ΔE_f (raw): -16.513 eV per formula unit
* total magnetization: 2.04 μB per cell
* VASP energy: -4.49 eV per atom

---

VASP calculation (PBE) on a relaxed structure of K3Ce2ZrSe6.

Structure (CIF):
```
data_K3Ce2ZrSe6
_chemical_formula_sum 'K6 Ce4 Zr2 Se12'
_symmetry_space_group_name_H-M 'C 1 2/m 1'
_symmetry_Int_Tables_number 12
_cell_length_a 7.3022
_cell_length_b 12.6516
_cell_length_c 8.1077
_cell_angle_alpha 90.00
_cell_angle_beta 107.54
_cell_angle_gamma 90.00
loop_
_symmetry_equiv_pos_as_xyz
'x,y,z'
'-x,-y,-z'
'-x,y,-z'
'x,-y,z'
'x+1/2,y+1/2,z'
'-x+1/2,-y+1/2,-z'
'-x+1/2,y+1/2,-z'
'x+1/2,-y+1/2,z'
loop_
_atom_site_label
_atom_site_type_symbol
_atom_site_fract_x
_atom_site_fract_y
_atom_site_fract_z
K1 K 0.0000 0.0000 0.0000
K2 K 0.0000 0.3307 0.0000
Ce1 Ce 0.0000 0.1663 0.5000
Zr1 Zr 0.0000 0.5000 0.5000
Se1 Se 0.2269 0.3422 0.7072
Se2 Se 0.2457 0.5000 0.2923
```

* ΔE_f (raw): -18.643 eV per formula unit
* total magnetization: 6.05 μB per cell
* VASP energy: -5.27 eV per atom

---

- What is the total magnetization in the fourth record?
  6.03 μB per cell

---

Please write out number 10 again, unchanged.
VASP calculation (PBE) on a relaxed structure of K3Ce2ZrSe6.

Structure (CIF):
```
data_K3Ce2ZrSe6
_chemical_formula_sum 'K6 Ce4 Zr2 Se12'
_symmetry_space_group_name_H-M 'C 1 2/m 1'
_symmetry_Int_Tables_number 12
_cell_length_a 7.3022
_cell_length_b 12.6516
_cell_length_c 8.1077
_cell_angle_alpha 90.00
_cell_angle_beta 107.54
_cell_angle_gamma 90.00
loop_
_symmetry_equiv_pos_as_xyz
'x,y,z'
'-x,-y,-z'
'-x,y,-z'
'x,-y,z'
'x+1/2,y+1/2,z'
'-x+1/2,-y+1/2,-z'
'-x+1/2,y+1/2,-z'
'x+1/2,-y+1/2,z'
loop_
_atom_site_label
_atom_site_type_symbol
_atom_site_fract_x
_atom_site_fract_y
_atom_site_fract_z
K1 K 0.0000 0.0000 0.0000
K2 K 0.0000 0.3307 0.0000
Ce1 Ce 0.0000 0.1663 0.5000
Zr1 Zr 0.0000 0.5000 0.5000
Se1 Se 0.2269 0.3422 0.7072
Se2 Se 0.2457 0.5000 0.2923
```

* ΔE_f (raw): -18.643 eV per formula unit
* total magnetization: 6.05 μB per cell
* VASP energy: -5.27 eV per atom

---

- What is the VASP energy in the sixth record?
  -4.66 eV per atom